--- P ---
8
Lattice="3.809 0.000 0.000 0.000 5.742 0.000 0.000 0.000 5.799" Properties=species:S:1:pos:R:3 comment="ErSiPO (PBE-GGA, optimized geometry)" crystal_system=orthorhombic space_group="Pmc2_1, No. 26" density_g_cm3=6.35 pbc="T T T"
Er 0.000 1.314 0.000
Er 0.000 4.428 2.899
Si 1.904 2.121 2.323
Si 1.904 3.622 5.223
P 1.904 0.482 3.946
P 1.904 5.260 1.047
O 0.000 2.306 2.060
O 0.000 3.436 4.959



--- Q ---
8
Lattice="4.055 0.000 0.000 0.000 4.055 0.000 0.000 0.000 7.900" Properties=species:S:1:pos:R:3 comment="ErSiPO (PBE-GGA, optimized geometry)" crystal_system=tetragonal space_group="P4/nmm, No. 129" density_g_cm3=6.20 pbc="T T T"
Er 1.014 1.014 0.971
Er 3.041 3.041 6.929
Si 1.014 3.041 3.950
Si 3.041 1.014 3.950
P 1.014 1.014 5.185
P 3.041 3.041 2.715
O 1.014 3.041 0.000
O 3.041 1.014 0.000



Of the structures shown above, Q is the most stable.